[1]
Below is a relaxed structure of Zr4CuO, with properties calculated at the PBE-GGA level.

Lattice parameters (Å, degrees): 6.739 6.739 6.739 107.45 107.45 113.59
Element x y z (fractional)
Zr 0.131 0.439 0.692
Zr 0.189 0.381 0.192
Zr 0.189 0.998 0.808
Zr 0.288 0.000 0.288
Zr 0.712 0.000 0.712
Zr 0.748 0.439 0.308
Zr 0.750 0.538 0.788
Zr 0.750 0.962 0.212
Cu 0.240 0.740 0.500
Cu 0.490 0.490 0.000
O 0.702 0.202 0.500
O 0.952 0.952 0.000

Output
Symmetry ... I4_1md


[2]
Below is a relaxed structure of NdDyHo, with properties calculated at the PBE-GGA level.

Lattice parameters (Å, degrees): 11.595 11.602 3.461 90.00 90.00 90.00
Element x y z (fractional)
Nd 0.000 0.000 0.000
Nd 0.000 0.500 0.500
Nd 0.500 0.000 0.500
Nd 0.500 0.500 0.000
Dy 0.000 0.237 0.500
Dy 0.000 0.763 0.500
Dy 0.500 0.263 0.500
Dy 0.500 0.737 0.500
Ho 0.237 0.500 0.000
Ho 0.263 0.000 0.000
Ho 0.737 0.000 0.000
Ho 0.763 0.500 0.000

Output
Symmetry ... Cmmm
Energy of formation from the pure elements ... 0.72 eV/atom


[3]
Below is a relaxed structure of Nd2Ga3SnPt4, with properties calculated at the PBE-GGA level.

Lattice parameters (Å, degrees): 4.340 4.340 10.704 90.00 90.00 90.00
Element x y z (fractional)
Nd 0.000 0.500 0.245
Nd 0.500 0.000 0.755
Ga 0.000 0.500 0.874
Ga 0.500 0.000 0.126
Ga 0.500 0.500 0.500
Sn 0.000 0.000 0.500
Pt 0.000 0.000 0.000
Pt 0.000 0.500 0.644
Pt 0.500 0.000 0.356
Pt 0.500 0.500 0.000

Output
Symmetry ... P-4m2
Energy of formation from the pure elements ... -0.94 eV/atom


[4]
Below is a relaxed structure of Be2Sn2Rh, with properties calculated at the PBE-GGA level.

Lattice parameters (Å, degrees): 3.125 3.125 16.658 90.00 90.00 90.00
Element x y z (fractional)
Be 0.000 0.500 0.250
Be 0.000 0.500 0.750
Be 0.500 0.000 0.250
Be 0.500 0.000 0.750
Sn 0.000 0.000 0.107
Sn 0.000 0.000 0.893
Sn 0.500 0.500 0.393
Sn 0.500 0.500 0.607
Rh 0.000 0.000 0.500
Rh 0.500 0.500 0.000

Output
Symmetry ... I4/mmm
Energy of formation from the pure elements ... 0.23 eV/atom


Ordered density of states at the Fermi level results: 9.7; 19.4; 6.0; 5.2; unit states/eV per cell.
Ordered total energy results: -94.40; -47.13; -56.14; -43.35; unit eV per cell.